5
Lattice="-3.0411 1.5969 -1.6077 -1.7080 -3.3836 -0.1299 -1.4343 0.5971 3.3061" Properties=species:S:1:pos:R:3 comment="AlO2F2 | Alexandria | PBE | optimized geometry" e_form_raw_ev_per_atom=0.01 spacegroup=P4/mmm pbc="T T T"
Al -3.0917 -0.5949 0.7842
O 0.0000 0.0000 0.0000
O -0.7172 0.2985 1.6530
F -0.8540 -1.6918 -0.0650
F -1.5206 0.7984 -0.8039

18
Lattice="-7.4439 2.3590 -0.4848 -2.0765 -5.4894 5.1736 6.3309 8.0695 5.1872" Properties=species:S:1:pos:R:3 comment="La5PmMgCd2 | Alexandria | PBE | optimized geometry" e_form_kcal_per_mol_atoms=-0.43 spacegroup=I4/mcm pbc="T T T"
La -6.1183 1.9724 3.1305
La -0.6167 6.6075 4.3408
La 2.9287 2.9667 6.7456
La 3.2932 5.9249 4.1149
La -0.9812 3.6493 6.9715
La -6.4828 -0.9858 5.7612
La -2.2084 1.2898 2.9046
La -2.5728 -1.6684 5.5353
La -4.7602 -1.5652 2.3444
La 0.0000 0.0000 0.0000
Pm 0.7853 3.2522 3.7658
Pm -3.9749 1.6869 6.1102
Mg -0.2529 0.5075 6.3526
Mg -2.9366 4.4316 3.5234
Cd -1.6872 -1.7957 1.9027
Cd -4.8731 0.8010 0.3245
Cd -4.6474 -3.9314 4.3643
Cd -7.8332 -1.3347 2.7862

5
Lattice="5.9629 0.0000 0.0000 0.0000 5.9629 0.0000 0.0000 0.0000 5.8445" Properties=species:S:1:pos:R:3 comment="AgSnTeI2 | Alexandria | PBE | optimized geometry" de_polymorph_mev_per_atom=78.6 e_form_raw_ev_per_atom=0.26 spacegroup=P4/mmm pbc="T T T"
I 0.0000 2.9815 0.0000
I 2.9815 0.0000 0.0000
Te 0.0000 0.0000 2.9222
Sn 0.0000 0.0000 0.0000
Ag 2.9815 2.9815 2.9222

no.,total magnetization (μB per atom)
1,0.000
2,0.000
3,0.000